No. 1
The following is a PBE calculation of crystalline TlAsPt2F at its relaxed geometry, from the Alexandria database.

Computed properties:
Calculated volume ... 19.179 A^3/atom
Formation energy from raw total energies ... -1.85 eV per formula unit
Spin magnetization ... 0.0 Bohr magnetons per cell
Space group ... P4/mmm

Cell lengths 4.817, 4.132, 4.817 Å; angles 90.00, 90.00, 90.00 degrees
Fractional positions:
Tl 0.500 0.500 0.500
Pt 0.000 0.000 0.500
As 0.000 0.000 0.000
Pt 0.500 0.000 0.000
F 0.000 0.500 0.000

***

No. 2
The following is a PBE calculation of crystalline AcLaInPt at its relaxed geometry, from the Alexandria database.

Computed properties:
Calculated volume ... 29.247 A^3/atom
Formation enthalpy at 0 K ... -0.62 eV/atom
Spin magnetization ... 0.0 Bohr magnetons per cell
Space group ... F-43m

Cell lengths 5.490, 5.490, 5.490 Å; angles 60.00, 60.00, 60.00 degrees
Fractional positions:
In 0.250 0.250 0.250
Ac 0.000 0.000 0.000
La 0.500 0.500 0.500
Pt 0.750 0.750 0.750

***

No. 3
The following is a PBE calculation of crystalline HoZnCuRu at its relaxed geometry, from the Alexandria database.

Computed properties:
Calculated volume ... 16.716 A^3/atom
Formation enthalpy at 0 K ... -0.12 eV/atom
Spin magnetization ... 0.0 Bohr magnetons per cell
Space group ... F-43m

Cell lengths 4.556, 4.556, 4.556 Å; angles 60.00, 60.00, 60.00 degrees
Fractional positions:
Cu 0.250 0.250 0.250
Zn 0.000 0.000 0.000
Ru 0.750 0.750 0.750
Ho 0.500 0.500 0.500

***

No. 4
The following is a PBE calculation of crystalline Ca4Dy3ErSe8 at its relaxed geometry, from the Alexandria database.

Computed properties:
Calculated volume ... 24.830 A^3/atom
Formation energy from raw total energies ... -29.89 eV per formula unit
Spin magnetization ... 0.0 Bohr magnetons per cell
Space group ... R-3m

Cell lengths 8.199, 8.305, 8.199 Å; angles 119.58, 120.00, 90.00 degrees
Fractional positions:
Dy 0.500 0.500 0.500
Ca 0.500 0.000 0.000
Se 0.251 0.254 0.503
Ca 0.000 0.000 0.000
Se 0.750 0.744 0.997
Se 0.753 0.256 0.003
Ca 0.500 0.000 0.500
Se 0.247 0.744 0.494
Se 0.753 0.256 0.506
Ca 0.000 0.000 0.500
Se 0.247 0.744 0.997
Dy 0.000 0.500 0.500
Dy 0.500 0.500 0.000
Se 0.749 0.746 0.497
Er 0.000 0.500 0.000
Se 0.250 0.256 0.003

***

No. 5
The following is a PBE calculation of crystalline Tb6Al39Cr8 at its relaxed geometry, from the Alexandria database.

Computed properties:
Calculated volume ... 16.854 A^3/atom
Formation enthalpy at 0 K ... -0.29 eV/atom
Spin magnetization ... 18.3 Bohr magnetons per cell
Space group ... P6_3/mcm

Cell lengths 10.920, 10.920, 17.299 Å; angles 90.00, 90.00, 120.00 degrees
Last column: magnetic moment on the atom in μB.
Fractional positions:
Al 0.750 0.500 0.000  0.00
Al 0.395 0.549 0.250  -0.03
Tb 0.467 0.000 0.903  -0.03
Cr 0.741 0.741 0.750  0.17
Cr 0.741 0.000 0.250  0.17
Al 0.000 0.153 0.884  0.00
Cr 0.667 0.333 0.368  2.21
Al 0.549 0.154 0.750  -0.03
Al 0.768 0.602 0.161  -0.01
Cr 0.000 0.000 0.000  -0.26
Al 0.232 0.834 0.339  -0.01
Al 0.166 0.398 0.161  -0.01
Al 0.251 0.251 0.528  -0.01
Cr 0.333 0.667 0.868  2.21
Al 0.500 0.750 0.500  0.00
Cr 0.259 0.259 0.250  0.17
Tb 0.533 0.000 0.097  -0.03
Cr 0.000 0.259 0.750  0.17
Al 0.153 0.153 0.750  -0.01
Al 0.250 0.750 0.500  0.00
Al 0.451 0.605 0.750  -0.03
Cr 0.000 0.000 0.500  -0.26
Cr 0.000 0.741 0.250  0.17
Al 0.834 0.602 0.661  -0.01
Al 0.602 0.834 0.839  -0.01
Al 0.250 0.500 0.000  0.00
Tb 0.000 0.467 0.597  -0.03
Al 0.000 0.153 0.250  -0.01
Al 0.251 0.000 0.472  -0.01
Al 0.834 0.232 0.339  -0.01
Tb 0.533 0.533 0.903  -0.03
Al 0.153 0.000 0.250  -0.01
Al 0.250 0.500 0.500  0.00
Cr 0.259 0.000 0.750  0.17
Cr 0.333 0.667 0.368  2.21
Tb 0.000 0.533 0.403  -0.03
Al 0.749 0.000 0.972  -0.01
Al 0.154 0.549 0.750  -0.03
Al 0.154 0.605 0.250  -0.03
Al 0.749 0.749 0.028  -0.01
Al 0.847 0.847 0.616  0.00
Al 0.232 0.398 0.839  -0.01
Al 0.398 0.232 0.839  -0.01
Al 0.251 0.251 0.972  -0.01
Al 0.768 0.602 0.339  -0.01
Al 0.847 0.847 0.884  0.00
Cr 0.333 0.667 0.132  2.21
Al 0.500 0.750 0.000  0.00
Al 0.166 0.398 0.339  -0.01
Al 0.768 0.166 0.839  -0.01
Al 0.451 0.846 0.250  -0.03
Al 0.398 0.232 0.661  -0.01
Al 0.000 0.251 0.028  -0.01
Al 0.395 0.846 0.750  -0.03
Al 0.000 0.153 0.616  0.00
Al 0.847 0.000 0.384  0.00
Al 0.153 0.153 0.384  0.00
Al 0.232 0.398 0.661  -0.01
Al 0.549 0.395 0.250  -0.03
Al 0.251 0.000 0.028  -0.01
Al 0.000 0.749 0.972  -0.01
Tb 0.467 0.467 0.097  -0.03
Al 0.232 0.834 0.161  -0.01
Al 0.500 0.250 0.000  0.00
Al 0.605 0.451 0.750  -0.03
Al 0.750 0.250 0.500  0.00
Al 0.398 0.166 0.161  -0.01
Cr 0.667 0.333 0.868  2.21
Al 0.000 0.749 0.528  -0.01
Cr 0.333 0.667 0.632  2.21
Tb 0.533 0.533 0.597  -0.03
Al 0.749 0.000 0.528  -0.01
Al 0.847 0.000 0.116  0.00
Tb 0.000 0.533 0.097  -0.03
Al 0.750 0.500 0.500  0.00
Al 0.000 0.251 0.472  -0.01
Al 0.602 0.834 0.661  -0.01
Al 0.846 0.395 0.750  -0.03
Al 0.605 0.154 0.250  -0.03
Al 0.000 0.847 0.750  -0.01
Al 0.000 0.847 0.116  0.00
Al 0.166 0.768 0.839  -0.01
Tb 0.000 0.467 0.903  -0.03
Tb 0.467 0.000 0.597  -0.03
Al 0.398 0.166 0.339  -0.01
Al 0.153 0.000 0.616  0.00
Al 0.602 0.768 0.161  -0.01
Al 0.834 0.602 0.839  -0.01
Al 0.500 0.250 0.500  0.00
Al 0.749 0.749 0.472  -0.01
Al 0.846 0.451 0.250  -0.03
Al 0.153 0.153 0.116  0.00
Al 0.847 0.847 0.250  -0.01
Al 0.750 0.250 0.000  0.00
Al 0.153 0.000 0.884  0.00
Al 0.768 0.166 0.661  -0.01
Cr 0.667 0.333 0.132  2.21
Al 0.847 0.000 0.750  -0.01
Al 0.834 0.232 0.161  -0.01
Al 0.250 0.750 0.000  0.00
Al 0.000 0.847 0.384  0.00
Tb 0.467 0.467 0.403  -0.03
Cr 0.667 0.333 0.632  2.21
Al 0.602 0.768 0.339  -0.01
Al 0.166 0.768 0.661  -0.01
Tb 0.533 0.000 0.403  -0.03

***

No. 6
The following is a PBE calculation of crystalline PaInH2 at its relaxed geometry, from the Alexandria database.

Computed properties:
Excess energy over the best structure of this formula in the dataset ... 0.000 eV/atom
Calculated volume ... 15.245 A^3/atom
Spin magnetization ... 0.0 Bohr magnetons per cell
Space group ... R-3m

Cell lengths 3.650, 3.650, 5.689 Å; angles 71.29, 71.29, 60.00 degrees
Fractional positions:
H 0.296 0.296 0.112
Pa 0.000 0.000 0.000
In 0.500 0.500 0.500
H 0.704 0.704 0.888

***

No. 7
The following is a PBE calculation of crystalline SbOsNO2 at its relaxed geometry, from the Alexandria database.

Computed properties:
Calculated volume ... 13.038 A^3/atom
Formation energy from raw total energies ... 4.60 eV per formula unit
Spin magnetization ... 3.9 Bohr magnetons per cell
Space group ... P4/mmm

Cell lengths 3.939, 3.939, 4.202 Å; angles 90.00, 90.00, 90.00 degrees
Last column: magnetic moment on the atom in μB.
Fractional positions:
Sb 0.000 0.000 0.000  0.00
N 0.000 0.000 0.500  0.09
O 0.500 0.000 0.000  0.15
Os 0.500 0.500 0.500  3.17
O 0.000 0.500 0.000  0.15

***

No. 8
The following is a PBE calculation of crystalline TbNd3SmY at its relaxed geometry, from the Alexandria database.

Computed properties:
Calculated volume ... 34.052 A^3/atom
Formation enthalpy at 0 K ... 0.11 eV/atom
Spin magnetization ... 0.0 Bohr magnetons per cell
Space group ... Cmcm

Cell lengths 5.902, 6.524, 11.898 Å; angles 90.00, 90.00, 116.89 degrees
Fractional positions:
Nd 0.132 0.264 0.750
Nd 0.329 0.658 0.531
Tb 0.000 0.000 0.500
Sm 0.526 0.052 0.750
Y 0.170 0.341 0.250
Nd 0.329 0.658 0.969
Nd 0.868 0.736 0.250
Nd 0.671 0.342 0.469
Y 0.830 0.659 0.750
Nd 0.671 0.342 0.031
Tb 0.000 0.000 0.000
Sm 0.474 0.948 0.250

***

No. 9
The following is a PBE calculation of crystalline Mg2CrTcTe at its relaxed geometry, from the Alexandria database.

Computed properties:
Calculated volume ... 28.229 A^3/atom
Formation energy from raw total energies ... 6.66 eV per formula unit
Spin magnetization ... 7.4 Bohr magnetons per cell
Space group ... P4/mmm

Cell lengths 5.316, 4.995, 5.316 Å; angles 90.00, 90.00, 90.00 degrees
Last column: magnetic moment on the atom in μB.
Fractional positions:
Tc 0.500 0.500 0.500  3.18
Cr 0.000 0.500 0.000  3.69
Mg 0.000 0.000 0.500  -0.05
Mg 0.500 0.000 0.000  -0.02
Te 0.000 0.000 0.000  -0.02

***

No. 10
The following is a PBE calculation of crystalline YHoOs at its relaxed geometry, from the Alexandria database.

Computed properties:
Excess energy over the best structure of this formula in the dataset ... 0.035 eV/atom
Calculated volume ... 25.687 A^3/atom
Formation enthalpy at 0 K ... -0.20 eV/atom
Spin magnetization ... 0.0 Bohr magnetons per cell
Space group ... F-43m

Cell lengths 4.777, 4.777, 4.777 Å; angles 60.00, 60.00, 60.00 degrees
Fractional positions:
Y 0.000 0.000 0.000
Os 0.250 0.250 0.250
Ho 0.500 0.500 0.500

***

No. 11
The following is a PBE calculation of crystalline Ac8TlHg2 at its relaxed geometry, from the Alexandria database.

Computed properties:
Excess energy over the best structure of this formula in the dataset ... 0.000 eV/atom
Calculated volume ... 39.171 A^3/atom
Formation enthalpy at 0 K ... -0.20 eV/atom
Spin magnetization ... 0.0 Bohr magnetons per cell
Space group ... C2/m

Cell lengths 5.957, 9.387, 9.388 Å; angles 118.36, 108.50, 90.00 degrees
Fractional positions:
Ac 0.598 0.453 0.195
Hg 0.225 0.617 0.450
Ac 0.402 0.547 0.805
Ac 0.318 0.037 0.636
Ac 0.140 0.200 0.280
Tl 0.500 0.000 0.000
Hg 0.775 0.383 0.550
Ac 0.930 0.277 0.860
Ac 0.682 0.963 0.364
Ac 0.070 0.723 0.140
Ac 0.860 0.800 0.720

***

No. 12
The following is a PBE calculation of crystalline Li2LaGeRh at its relaxed geometry, from the Alexandria database.

Computed properties:
Excess energy over the best structure of this formula in the dataset ... 0.000 eV/atom
Calculated volume ... 20.613 A^3/atom
Formation enthalpy at 0 K ... -0.35 eV/atom
Spin magnetization ... 0.0 Bohr magnetons per cell
Space group ... P4/mmm

Cell lengths 4.667, 4.667, 4.731 Å; angles 90.00, 90.00, 90.00 degrees
Fractional positions:
Li 0.000 0.500 0.000
Li 0.500 0.000 0.000
La 0.500 0.500 0.500
Rh 0.000 0.000 0.000
Ge 0.000 0.000 0.500